# CeHfAlZn

A geometry-optimized CeHfAlZn structure (PBE, Alexandria via LeMat-Bulk).

- D(E_F) (states/eV/atom) = 1.553
- total magnetic moment (Bohr magnetons per cell) = 0.75
- crystal system = cubic
- calculated volume (Å³ per cell) = 85
- space-group type = F-43m
- calculated total energy (eV/atom) = -5.39

Cell: 4.9274 4.9274 4.9274 Å, 60.00 60.00 60.00°
Last column: nearest neighbours and their distance in Å.
Positions (direct):
Zn1 0.0000 0.0000 0.0000  4 Hf 3.02, 4 Ce 3.02
Hf1 0.2500 0.2500 0.2500  4 Al 3.02, 4 Zn 3.02
Al1 0.5000 0.5000 0.5000  4 Hf 3.02, 4 Ce 3.02
Ce1 0.7500 0.7500 0.7500  4 Al 3.02, 4 Zn 3.02